1.
DFT (GGA-PBE) results for an optimized crystal structure of Pm12ThSi7.

a b c (Å): 9.0876 9.0876 9.0876
angles (deg): 110.41 110.41 110.41
Sites, in units of the cell vectors:
Si  0.4559  0.1299  0.1299
Si  0.1299  0.1299  0.4559
Si  0.5000  0.5000  0.5000
Si  0.8701  0.8701  0.5441
Si  0.5441  0.8701  0.8701
Si  0.1299  0.4559  0.1299
Si  0.8701  0.5441  0.8701
Pm  0.5306  0.8332  0.5306
Pm  0.4694  0.1668  0.4694
Pm  0.5306  0.5306  0.8332
Pm  0.2673  0.9999  0.7326
Pm  0.4694  0.4694  0.1668
Pm  0.8332  0.5306  0.5306
Pm  0.7327  0.0001  0.2674
Pm  0.9999  0.7326  0.2673
Pm  0.2674  0.7327  0.0001
Pm  0.1668  0.4694  0.4694
Pm  0.7326  0.2673  0.9999
Pm  0.0001  0.2674  0.7327
Th  0.0000  0.0000  0.0000

Computed properties:
SG   R-3m
Electronic total energy   -109.79 eV for the cell shown
Formation energy without anion corrections   -0.3701 eV/atom

=====

2.
DFT (GGA-PBE) results for an optimized crystal structure of PmThSi.

a b c (Å): 4.4908 4.6364 4.6364
angles (deg): 120.00 90.00 90.00
Sites, in units of the cell vectors:
Si  0.9919  0.0000  0.0000
Pm  0.7351  0.6667  0.3333
Th  0.2730  0.3333  0.6667

Computed properties:
SG   P3m1
Electronic total energy   -17.99 eV for the cell shown
Formation energy without anion corrections   -0.1329 eV/atom
Polymorph energy (0 for the lowest one)   195.5 meV/atom

=====

3.
DFT (GGA-PBE) results for an optimized crystal structure of PmTh4Si4.

a b c (Å): 5.9898 9.1364 9.1364
angles (deg): 90.00 90.00 90.00
Sites, in units of the cell vectors:
Si  0.6310  0.2290  0.6360
Si  0.3690  0.3640  0.2290
Si  0.8690  0.2710  0.8640
Si  0.1310  0.1360  0.2710
Si  0.8690  0.7290  0.1360
Si  0.6310  0.7710  0.3640
Si  0.3690  0.6360  0.7710
Si  0.1310  0.8640  0.7290
Pm  0.5000  0.5000  0.5000
Pm  0.0000  0.0000  0.0000
Th  0.1290  0.8223  0.4074
Th  0.3710  0.6777  0.0926
Th  0.8710  0.4074  0.1777
Th  0.6290  0.9074  0.6777
Th  0.6290  0.0926  0.3223
Th  0.1290  0.1777  0.5926
Th  0.8710  0.5926  0.8223
Th  0.3710  0.3223  0.9074

Computed properties:
SG   P4_2/n
Electronic total energy   -119.10 eV for the cell shown
Formation energy without anion corrections   -0.3811 eV/atom

=====

4.
DFT (GGA-PBE) results for an optimized crystal structure of Pm2ThSi.

a b c (Å): 3.8771 3.8771 7.2675
angles (deg): 90.00 90.00 90.00
Sites, in units of the cell vectors:
Si  0.5000  0.5000  0.0000
Th  0.5000  0.5000  0.5000
Pm  0.0000  0.0000  0.2043
Pm  0.0000  0.0000  0.7957

Computed properties:
SG   P4/mmm
Electronic total energy   -23.24 eV for the cell shown
Formation energy without anion corrections   -0.2244 eV/atom
Polymorph energy (0 for the lowest one)   0.0 meV/atom

=====

5.
DFT (GGA-PBE) results for an optimized crystal structure of PmTh2Si.

a b c (Å): 3.8071 3.8071 7.9715
angles (deg): 90.00 90.00 90.00
Sites, in units of the cell vectors:
Th  0.0000  0.0000  0.3051
Th  0.0000  0.0000  0.6949
Pm  0.5000  0.5000  0.0000
Si  0.5000  0.5000  0.5000

Computed properties:
SG   P4/mmm
Electronic total energy   -25.80 eV for the cell shown
Formation energy without anion corrections   -0.1967 eV/atom
Polymorph energy (0 for the lowest one)   0.0 meV/atom

=====

6.
DFT (GGA-PBE) results for an optimized crystal structure of Pm2ThSi4.

a b c (Å): 3.9875 4.3628 9.3793
angles (deg): 103.45 102.27 90.00
Sites, in units of the cell vectors:
Si  0.0657  0.5657  0.1314
Si  0.9343  0.4343  0.8686
Si  0.6462  0.6462  0.2924
Si  0.3538  0.3538  0.7076
Th  0.5000  0.0000  0.0000
Pm  0.1818  0.1818  0.3636
Pm  0.8182  0.8182  0.6364

Computed properties:
SG   Immm
Electronic total energy   -43.76 eV for the cell shown
Formation energy without anion corrections   -0.7360 eV/atom

=====

7.
DFT (GGA-PBE) results for an optimized crystal structure of Pm2ThSi2.

a b c (Å): 4.1598 5.8595 12.3372
angles (deg): 112.84 90.00 90.00
Sites, in units of the cell vectors:
Pm  0.7500  0.2275  0.1284
Pm  0.2500  0.3070  0.5605
Pm  0.2500  0.7725  0.8716
Pm  0.7500  0.6930  0.4395
Si  0.7500  0.1363  0.3752
Si  0.2500  0.8637  0.6248
Si  0.2500  0.3627  0.9802
Si  0.7500  0.6373  0.0198
Th  0.7500  0.1812  0.7821
Th  0.2500  0.8188  0.2179

Computed properties:
SG   P2_1/m
Electronic total energy   -60.38 eV for the cell shown
Formation energy without anion corrections   -0.4849 eV/atom
Polymorph energy (0 for the lowest one)   120.9 meV/atom

=====

8.
DFT (GGA-PBE) results for an optimized crystal structure of Pm12ThSi6.

a b c (Å): 8.5257 8.5257 8.5257
angles (deg): 103.62 103.62 103.62
Sites, in units of the cell vectors:
Pm  0.5000  0.8824  0.1176
Pm  0.4361  0.4361  0.1728
Pm  0.8824  0.5000  0.1176
Pm  0.5639  0.5639  0.8272
Pm  0.1728  0.4361  0.4361
Pm  0.1176  0.8824  0.5000
Pm  0.4361  0.1728  0.4361
Pm  0.5639  0.8272  0.5639
Pm  0.5000  0.1176  0.8824
Pm  0.8824  0.1176  0.5000
Pm  0.1176  0.5000  0.8824
Pm  0.8272  0.5639  0.5639
Si  0.7458  0.7458  0.2906
Si  0.2542  0.7094  0.2542
Si  0.7094  0.2542  0.2542
Si  0.2906  0.7458  0.7458
Si  0.2542  0.2542  0.7094
Si  0.7458  0.2906  0.7458
Th  0.0000  0.0000  0.0000

Computed properties:
SG   R-3m
Electronic total energy   -102.05 eV for the cell shown
Formation energy without anion corrections   -0.2677 eV/atom

=====

9.
DFT (GGA-PBE) results for an optimized crystal structure of PmThSi.

a b c (Å): 3.4988 3.4988 7.2121
angles (deg): 102.83 102.83 94.83
Sites, in units of the cell vectors:
Pm  0.6970  0.6970  0.3941
Th  0.9698  0.9698  0.9395
Si  0.3332  0.3332  0.6664

Computed properties:
SG   Fmm2
Electronic total energy   -18.30 eV for the cell shown
Formation energy without anion corrections   -0.2339 eV/atom
Polymorph energy (0 for the lowest one)   94.4 meV/atom

=====

10.
DFT (GGA-PBE) results for an optimized crystal structure of PmTh2Si.

a b c (Å): 4.7704 4.7697 4.7697
angles (deg): 90.00 90.00 90.00
Sites, in units of the cell vectors:
Th  0.0000  0.0000  0.5000
Th  0.0000  0.5000  0.0000
Si  0.5000  0.5000  0.5000
Pm  0.5000  0.0000  0.0000

Computed properties:
SG   P4/mmm
Electronic total energy   -25.76 eV for the cell shown
Formation energy without anion corrections   -0.1878 eV/atom
Polymorph energy (0 for the lowest one)   8.9 meV/atom

=====

11.
DFT (GGA-PBE) results for an optimized crystal structure of Pm3Th3Si4.

a b c (Å): 4.1440 7.8295 7.8295
angles (deg): 89.98 90.00 90.00
Sites, in units of the cell vectors:
Pm  0.5000  0.3233  0.3235
Pm  0.5000  0.6765  0.6767
Pm  0.5000  0.8222  0.1778
Si  0.0000  0.6132  0.3868
Si  0.0000  0.1130  0.1136
Si  0.0000  0.8864  0.8870
Si  0.0000  0.3866  0.6134
Th  0.0000  0.0006  0.5018
Th  0.5000  0.1800  0.8200
Th  0.0000  0.4982  0.9994

Computed properties:
SG   Amm2
Electronic total energy   -64.43 eV for the cell shown
Formation energy without anion corrections   -0.6222 eV/atom

=====

12.
DFT (GGA-PBE) results for an optimized crystal structure of PmThSi2.

a b c (Å): 4.4092 3.9931 5.8725
angles (deg): 90.00 112.12 90.00
Sites, in units of the cell vectors:
Si  0.1568  0.5000  0.8528
Si  0.0095  0.0000  0.5576
Pm  0.4420  0.5000  0.4241
Th  0.7227  0.0000  0.9834

Computed properties:
SG   Pm
Electronic total energy   -25.89 eV for the cell shown
Formation energy without anion corrections   -0.7182 eV/atom
Polymorph energy (0 for the lowest one)   0.0 meV/atom

=====

13.
DFT (GGA-PBE) results for an optimized crystal structure of Pm2ThSi2.

a b c (Å): 4.1523 7.8140 7.8140
angles (deg): 90.00 90.00 90.00
Sites, in units of the cell vectors:
Si  0.5000  0.3865  0.3865
Si  0.5000  0.6135  0.6135
Si  0.5000  0.8865  0.1135
Si  0.5000  0.1135  0.8865
Th  0.5000  0.5000  0.0000
Th  0.5000  0.0000  0.5000
Pm  0.0000  0.1768  0.1768
Pm  0.0000  0.3232  0.6768
Pm  0.0000  0.8232  0.8232
Pm  0.0000  0.6768  0.3232

Computed properties:
SG   P4/mbm
Electronic total energy   -61.59 eV for the cell shown
Formation energy without anion corrections   -0.6059 eV/atom
Polymorph energy (0 for the lowest one)   0.0 meV/atom

=====

14.
DFT (GGA-PBE) results for an optimized crystal structure of PmTh2Si.

a b c (Å): 3.8336 3.8336 10.6717
angles (deg): 79.65 79.65 60.00
Last column: magnetic moment on the atom in μB.
Sites, in units of the cell vectors:
Pm  0.0000  0.0000  0.0000  0.21
Th  0.1089  0.1089  0.6733  0.07
Th  0.8911  0.8911  0.3267  0.07
Si  0.5000  0.5000  0.5000  0.00

Computed properties:
SG   R-3m
Electronic total energy   -24.70 eV for the cell shown
Formation energy without anion corrections   0.0778 eV/atom
Polymorph energy (0 for the lowest one)   274.5 meV/atom

=====

15.
DFT (GGA-PBE) results for an optimized crystal structure of Pm2ThSi6.

a b c (Å): 4.1340 7.1566 7.1566
angles (deg): 120.00 90.00 90.00
Sites, in units of the cell vectors:
Pm  0.0000  0.6667  0.3333
Pm  0.0000  0.3333  0.6667
Si  0.5000  0.6665  0.0000
Si  0.5000  0.3335  0.0000
Si  0.5000  0.6665  0.6665
Si  0.5000  0.3335  0.3335
Si  0.5000  0.0000  0.3335
Si  0.5000  0.0000  0.6665
Th  0.0000  0.0000  0.0000

Computed properties:
SG   P6/mmm
Electronic total energy   -54.80 eV for the cell shown
Formation energy without anion corrections   -0.5936 eV/atom
Polymorph energy (0 for the lowest one)   0.0 meV/atom

=====

16.
DFT (GGA-PBE) results for an optimized crystal structure of PmThSi4.

a b c (Å): 4.1257 4.1257 7.7664
angles (deg): 105.40 105.40 90.00
Sites, in units of the cell vectors:
Si  0.6671  0.1671  0.3342
Si  0.5836  0.5836  0.1672
Si  0.4164  0.4164  0.8328
Si  0.8329  0.3329  0.6658
Th  0.0000  0.0000  0.0000
Pm  0.2500  0.7500  0.5000

Computed properties:
SG   I-4m2
Electronic total energy   -37.46 eV for the cell shown
Formation energy without anion corrections   -0.5999 eV/atom
Polymorph energy (0 for the lowest one)   0.0 meV/atom

=====

17.
DFT (GGA-PBE) results for an optimized crystal structure of PmThZnSi.

a b c (Å): 5.1415 5.1415 5.1415
angles (deg): 60.00 60.00 60.00
Sites, in units of the cell vectors:
Si  0.0000  0.0000  0.0000
Zn  0.5000  0.5000  0.5000
Pm  0.7500  0.7500  0.7500
Th  0.2500  0.2500  0.2500

Computed properties:
SG   F-43m
Electronic total energy   -20.25 eV for the cell shown
Formation energy without anion corrections   -0.3451 eV/atom
Polymorph energy (0 for the lowest one)   148.9 meV/atom

=====

18.
DFT (GGA-PBE) results for an optimized crystal structure of PmThZnSi.

a b c (Å): 4.3257 4.0880 5.9857
angles (deg): 90.00 111.18 90.00
Sites, in units of the cell vectors:
Zn  0.5692  0.5000  0.1384
Pm  0.1449  0.0000  0.2899
Th  0.8578  0.5000  0.7157
Si  0.4280  0.0000  0.8561

Computed properties:
SG   Amm2
Electronic total energy   -20.84 eV for the cell shown
Formation energy without anion corrections   -0.4940 eV/atom
Polymorph energy (0 for the lowest one)   0.0 meV/atom

=====

19.
DFT (GGA-PBE) results for an optimized crystal structure of Pm2TiSi3.

a b c (Å): 4.9973 7.6209 7.6209
angles (deg): 112.40 90.00 90.00
Sites, in units of the cell vectors:
Si  0.5000  0.1681  0.8319
Si  0.5000  0.8319  0.1681
Si  0.0000  0.8319  0.1681
Si  0.0000  0.1681  0.8319
Si  0.2500  0.6076  0.6076
Si  0.7500  0.3924  0.3924
Ti  0.7500  0.0970  0.0970
Ti  0.2500  0.9030  0.9030
Pm  0.2500  0.4704  0.1776
Pm  0.7500  0.8224  0.5296
Pm  0.7500  0.5296  0.8224
Pm  0.2500  0.1776  0.4704

Computed properties:
SG   Cmcm
Electronic total energy   -73.74 eV for the cell shown
Formation energy without anion corrections   -0.5338 eV/atom

=====

20.
DFT (GGA-PBE) results for an optimized crystal structure of PmTi2Si4.

a b c (Å): 3.8085 3.8390 8.6394
angles (deg): 102.84 102.73 90.00
Sites, in units of the cell vectors:
Si  0.9261  0.4261  0.8523
Si  0.6615  0.6615  0.3231
Si  0.3385  0.3385  0.6769
Si  0.0739  0.5739  0.1477
Ti  0.1848  0.1848  0.3695
Ti  0.8152  0.8152  0.6305
Pm  0.5000  0.0000  0.0000

Computed properties:
SG   Immm
Electronic total energy   -46.41 eV for the cell shown
Formation energy without anion corrections   -0.5962 eV/atom

=====

21.
DFT (GGA-PBE) results for an optimized crystal structure of PmTiSi.

a b c (Å): 5.6901 6.3855 7.6537
angles (deg): 104.69 90.00 90.00
Sites, in units of the cell vectors:
Ti  0.8968  0.9414  0.1670
Ti  0.1032  0.0586  0.8330
Ti  0.6032  0.9414  0.6670
Ti  0.3968  0.0586  0.3330
Pm  0.1812  0.6706  0.4712
Pm  0.8188  0.3294  0.5288
Pm  0.3188  0.6706  0.9712
Pm  0.6812  0.3294  0.0288
Si  0.1628  0.2722  0.1561
Si  0.3372  0.2722  0.6561
Si  0.6628  0.7278  0.3439
Si  0.8372  0.7278  0.8439

Computed properties:
SG   P2_1/c
Electronic total energy   -75.89 eV for the cell shown
Formation energy without anion corrections   -0.3016 eV/atom
Polymorph energy (0 for the lowest one)   299.0 meV/atom

=====

22.
DFT (GGA-PBE) results for an optimized crystal structure of PmTiSi.

a b c (Å): 4.1080 4.1080 7.6965
angles (deg): 90.00 90.00 90.00
Last column: magnetic moment on the atom in μB.
Sites, in units of the cell vectors:
Si  0.5000  0.0000  0.7236  0.00
Si  0.0000  0.5000  0.2764  0.00
Pm  0.0000  0.5000  0.8468  0.14
Pm  0.5000  0.0000  0.1532  0.14
Ti  0.0000  0.0000  0.5000  -0.26
Ti  0.5000  0.5000  0.5000  -0.26

Computed properties:
SG   P4/nmm
Electronic total energy   -39.74 eV for the cell shown
Formation energy without anion corrections   -0.6006 eV/atom
Polymorph energy (0 for the lowest one)   0.0 meV/atom

=====

23.
DFT (GGA-PBE) results for an optimized crystal structure of Pm2Ti3Si4.

a b c (Å): 6.9579 7.1474 7.1330
angles (deg): 90.00 90.00 108.84
Sites, in units of the cell vectors:
Ti  0.2494  0.7407  0.1742
Ti  0.2506  0.2593  0.6742
Ti  0.7506  0.2593  0.8258
Ti  0.7494  0.7407  0.3258
Ti  0.5000  0.5000  0.0000
Ti  0.0000  0.5000  0.5000
Si  0.3685  0.4981  0.3742
Si  0.1230  0.9111  0.4568
Si  0.6230  0.9111  0.0432
Si  0.8770  0.0889  0.5432
Si  0.3770  0.0889  0.9568
Si  0.6315  0.5019  0.6258
Si  0.8685  0.4981  0.1258
Si  0.1315  0.5019  0.8742
Pm  0.4334  0.8127  0.6666
Pm  0.0666  0.1873  0.1666
Pm  0.9334  0.8127  0.8334
Pm  0.5666  0.1873  0.3334

Computed properties:
SG   P2_1/c
Electronic total energy   -123.23 eV for the cell shown
Formation energy without anion corrections   -0.7486 eV/atom

=====

24.
DFT (GGA-PBE) results for an optimized crystal structure of Pm7Tl2Si.

a b c (Å): 7.8622 7.8622 7.8622
angles (deg): 60.00 60.00 60.00
Sites, in units of the cell vectors:
Pm  0.5000  0.5000  0.5000
Pm  0.2440  0.2440  0.7560
Pm  0.2440  0.7560  0.7560
Pm  0.7560  0.2440  0.7560
Pm  0.7560  0.7560  0.2440
Pm  0.7560  0.2440  0.2440
Pm  0.2440  0.7560  0.2440
Tl  0.7500  0.7500  0.7500
Tl  0.2500  0.2500  0.2500
Si  0.0000  0.0000  0.0000

Computed properties:
SG   Fm-3m
Electronic total energy   -40.95 eV for the cell shown
Formation energy without anion corrections   0.2459 eV/atom